{
  "formula": "V3WO7",
  "functional": "PBE+U",
  "state": "optimized geometry",
  "cell": [[4.493, -0.191, 2.164], [-1.219, 4.329, 2.164], [-0.371, -0.469, 5.813]],
  "species": ["O", "O", "O", "O", "O", "O", "O", "V", "V", "V", "W"],
  "fractional_positions": [[0.613, 0.613, 0.311], [0.133, 0.133, 0.215], [0.620, 0.129, 0.235], [0.970, 0.350, 0.731], [0.350, 0.970, 0.731], [0.833, 0.833, 0.761], [0.129, 0.620, 0.235], [0.491, 0.491, 0.052], [0.235, 0.782, 0.482], [0.782, 0.235, 0.482], [0.968, 0.968, 0.013]],
  "final_energy_ev_per_atom": -7.751,
  "density_g_cm3": 6.15
}